(1)
4
Lattice="5.284 0.000 0.000 2.642 4.576 0.000 2.642 1.525 4.315" Properties=species:S:1:pos:R:3 comment="PBE TbDyTiTl, optimized geometry" density_g_cm3=9.13 formation_enthalpy_0k_ev_per_atom=0.001 crystal_system=cubic dos_at_fermi_per_ev_cell=4.742 pbc="T T T"
Tb 5.284 3.051 2.157
Ti 7.926 4.576 3.236
Dy 0.000 0.000 0.000
Tl 2.642 1.525 1.079

---

(2)
4
Lattice="5.148 0.000 0.000 2.574 4.458 0.000 2.574 1.486 4.203" Properties=species:S:1:pos:R:3 comment="PBE LiAgTePb, optimized geometry" density_g_cm3=7.74 total_energy_ev_per_fu=-12.16 crystal_system=cubic dos_at_fermi_per_ev_cell=1.500 pbc="T T T"
Pb 7.721 4.458 3.152
Te 2.574 1.486 1.051
Li 0.000 0.000 0.000
Ag 5.148 2.972 2.101

---

(3)
6
Lattice="2.228 -3.990 0.000 2.228 3.990 0.000 0.000 0.000 4.183" Properties=species:S:1:pos:R:3 comment="PBE Fe2W, optimized geometry" density_g_cm3=13.20 formation_enthalpy_0k_ev_per_atom=0.172 crystal_system=orthorhombic dos_at_fermi_per_ev_cell=8.689 pbc="T T T"
W 0.905 0.000 3.137
W 3.552 0.000 1.046
Fe 3.006 1.408 3.137
Fe 1.451 -1.408 1.046
Fe 1.451 1.408 1.046
Fe 3.006 -1.408 3.137

---

(4)
4
Lattice="-1.139 -3.435 3.386 -0.749 -4.698 -1.391 3.305 -3.495 1.193" Properties=species:S:1:pos:R:3 comment="PBE PmNdCoIr, optimized geometry" density_g_cm3=10.42 formation_enthalpy_0k_ev_per_atom=-0.298 crystal_system=cubic dos_at_fermi_per_ev_cell=1.095 pbc="T T T"
Nd 1.063 -8.721 2.391
Co 0.000 0.000 0.000
Ir 0.709 -5.814 1.594
Pm 0.354 -2.907 0.797

---

(5)
4
Lattice="-0.968 0.485 3.368 -3.380 0.272 -1.011 -0.822 -7.219 0.803" Properties=species:S:1:pos:R:3 comment="PBE ScCoBr2, optimized geometry" density_g_cm3=4.79 total_energy_ev_per_fu=-18.89 crystal_system=tetragonal dos_at_fermi_per_ev_cell=0.333 pbc="T T T"
Co -0.467 -4.100 0.456
Br -0.733 -6.438 0.716
Br -2.457 -2.104 1.455
Sc -2.746 -4.648 1.738

---

(6)
8
Lattice="4.300 0.000 0.000 0.000 7.782 0.245 0.000 -2.620 7.593" Properties=species:S:1:pos:R:3 comment="PBE Pr4AsAuI2, optimized geometry" density_g_cm3=7.04 total_energy_ev_per_fu=-38.63 crystal_system=monoclinic dos_at_fermi_per_ev_cell=4.400 pbc="T T T"
Pr 2.150 1.259 1.619
I 2.150 -1.310 3.797
Au 0.000 0.000 0.000
Pr 0.000 0.039 6.102
I 0.000 2.581 3.919
As 2.150 3.891 0.123
Pr 0.000 5.124 1.736
Pr 2.150 3.903 6.220

---

(7)
3
Lattice="-3.669 0.273 -2.477 -1.994 -3.697 -1.424 -3.917 -1.202 1.698" Properties=species:S:1:pos:R:3 comment="PBE TaAlCd, optimized geometry" density_g_cm3=8.62 formation_enthalpy_0k_ev_per_atom=0.684 crystal_system=cubic dos_at_fermi_per_ev_cell=1.995 pbc="T T T"
Cd 0.000 0.000 0.000
Al -7.184 -3.470 -1.653
Ta -4.789 -2.313 -1.102

---

(8)
6
Lattice="7.870 0.000 0.000 3.935 6.816 0.000 3.935 2.272 6.426" Properties=species:S:1:pos:R:3 comment="PBE CsRbCa4, optimized geometry" density_g_cm3=1.82 formation_enthalpy_0k_ev_per_atom=0.190 crystal_system=cubic dos_at_fermi_per_ev_cell=5.140 pbc="T T T"
Ca 9.840 5.681 4.017
Cs 3.935 2.272 1.606
Rb 0.000 0.000 0.000
Ca 7.870 2.269 4.017
Ca 5.900 5.681 4.017
Ca 7.870 4.544 0.800